This record from the Alexandria database describes Pu3Fe5O12 after structural relaxation. The functional is GGA+U.

Cell lengths 10.910, 10.910, 10.910 Å; angles 109.47, 109.47, 109.47 degrees
Positions (direct):
Pu1 0.125 0.250 0.375
Pu2 0.125 0.375 0.750
Pu3 0.250 0.375 0.125
Pu4 0.250 0.875 0.625
Pu5 0.375 0.125 0.250
Pu6 0.375 0.750 0.125
Pu7 0.625 0.250 0.875
Pu8 0.625 0.875 0.750
Pu9 0.750 0.125 0.375
Pu10 0.750 0.625 0.875
Pu11 0.875 0.625 0.250
Pu12 0.875 0.750 0.625
Fe1 0.000 0.000 0.000
Fe2 0.000 0.000 0.500
Fe3 0.000 0.500 0.000
Fe4 0.000 0.500 0.500
Fe5 0.125 0.750 0.875
Fe6 0.125 0.875 0.250
Fe7 0.250 0.125 0.875
Fe8 0.250 0.625 0.375
Fe9 0.375 0.250 0.625
Fe10 0.375 0.625 0.750
Fe11 0.500 0.000 0.000
Fe12 0.500 0.000 0.500
Fe13 0.500 0.500 0.000
Fe14 0.500 0.500 0.500
Fe15 0.625 0.375 0.250
Fe16 0.625 0.750 0.375
Fe17 0.750 0.375 0.625
Fe18 0.750 0.875 0.125
Fe19 0.875 0.125 0.750
Fe20 0.875 0.250 0.125
O1 0.040 0.212 0.125
O2 0.040 0.328 0.915
O3 0.085 0.625 0.413
O4 0.085 0.960 0.672
O5 0.087 0.712 0.672
O6 0.087 0.875 0.415
O7 0.125 0.040 0.212
O8 0.125 0.585 0.913
O9 0.172 0.212 0.587
O10 0.172 0.460 0.585
O11 0.212 0.125 0.040
O12 0.212 0.587 0.172
O13 0.288 0.328 0.913
O14 0.288 0.460 0.375
O15 0.328 0.913 0.288
O16 0.328 0.915 0.040
O17 0.375 0.288 0.460
O18 0.375 0.587 0.915
O19 0.413 0.085 0.625
O20 0.413 0.828 0.788
O21 0.415 0.087 0.875
O22 0.415 0.828 0.540
O23 0.460 0.375 0.288
O24 0.460 0.585 0.172
O25 0.540 0.415 0.828
O26 0.540 0.625 0.712
O27 0.585 0.172 0.460
O28 0.585 0.913 0.125
O29 0.587 0.172 0.212
O30 0.587 0.915 0.375
O31 0.625 0.413 0.085
O32 0.625 0.712 0.540
O33 0.672 0.085 0.960
O34 0.672 0.087 0.712
O35 0.712 0.540 0.625
O36 0.712 0.672 0.087
O37 0.788 0.413 0.828
O38 0.788 0.875 0.960
O39 0.828 0.540 0.415
O40 0.828 0.788 0.413
O41 0.875 0.415 0.087
O42 0.875 0.960 0.788
O43 0.913 0.125 0.585
O44 0.913 0.288 0.328
O45 0.915 0.040 0.328
O46 0.915 0.375 0.587
O47 0.960 0.672 0.085
O48 0.960 0.788 0.875

Output
Density of states at the Fermi level ... 18.249 states/eV/f.u.
Calculated total energy ... -8.566 eV/atom